Compound: Li5Os
Source: Alexandria
Functional: PBE
Structure: optimized geometry

Structure (extended XYZ):
```
6
Lattice="-1.3583 7.4406 2.3781 -1.1842 -7.5206 -2.2140 0.3280 -1.3535 4.4222" Properties=species:S:1:pos:R:3 pbc="T T T"
Li -1.0988 -1.4456 2.0694
Li -1.2434 -2.4349 -0.6530
Li -1.1876 -7.2274 -2.1240
Li -1.2994 2.3841 0.8261
Li -1.1517 3.1050 3.4661
Os -1.0385 -6.6254 0.4796
```

SG   No. 38
Energy above the most stable polymorph in this dataset   0.33 kcal/mol of atoms
Formation energy   0.142 eV per atom


Compound: Dy2BSbRh6
Source: Alexandria
Functional: PBE
Structure: optimized geometry

Structure (extended XYZ):
```
10
Lattice="5.8485 0.0314 0.0276 -0.0309 6.7683 1.0153 2.8869 4.0750 5.1064" Properties=species:S:1:pos:R:3 pbc="T T T"
Rh 5.8092 7.0900 3.6144
Rh 7.3327 8.8246 5.2589
Rh 4.2481 8.8075 5.2387
Rh 1.3717 2.0501 0.8904
Rh 4.4563 2.0672 0.9106
Rh 2.8952 3.7847 2.5349
B 2.9088 3.3998 0.5215
Dy 2.8863 6.7916 3.3241
Dy 5.8181 4.0831 2.8252
Sb 0.0000 0.0000 0.0000
```

SG   No. 12
Energy relative to the elements, uncorrected   -0.5933 eV/atom


Compound: K2MnPS4
Source: Alexandria
Functional: PBE
Structure: optimized geometry

Structure (extended XYZ):
```
16
Lattice="-5.3106 -1.2770 2.7559 0.4974 -3.8546 5.9629 -1.7789 8.9867 7.5268" Properties=species:S:1:pos:R:3 pbc="T T T"
S -1.4740 -2.6594 6.4732
S -5.7991 3.8620 14.0216
S -2.6522 0.4131 8.3015
S -3.6582 3.5097 7.7980
S -2.7444 7.0852 8.5406
S -1.4570 2.1860 5.3559
S -5.4166 1.6013 11.0359
S -3.1666 -0.5777 3.4559
K -2.0940 5.5256 5.3158
K -4.3085 5.0693 11.0228
K -4.9954 2.1840 4.9670
K -4.9388 -1.8528 6.6008
P -1.9684 2.2468 7.4338
P -2.6553 -0.6385 1.3780
Mn 0.0000 0.0000 0.0000
Mn -4.6237 1.6083 8.8118
```

SG   No. 70
Energy relative to the elements, uncorrected   -0.6710 eV/atom